CaWCl | PBE | relaxed

Computed properties:
* energy relative to the elements, uncorrected: 1.1778 eV/atom
* relative energy among the computed polymorphs: 19.65 kcal/mol of atoms
* total magnetization: 0.00 μB/cell
* DFT total energy: -4.42 eV/atom

abc: 6.422 6.422 6.422
angles: 90.00 90.00 90.00
Space group F-43m (No. 216)
Inequivalent atoms, fractional coordinates:
Ca (0.000, 0.000, 0.000) x4
W (0.000, 0.000, 0.500) x4
Cl (0.250, 0.250, 0.750) x4